Version A
! Li2LaS2, optimized geometry, DFT PBE; values from VASP
! **D(E_F)**: 0.316 states/eV/atom
&SYSTEM
  ibrav = 0, nat = 10, ntyp = 3
/
ATOMIC_SPECIES
Li 6.94 Li.upf
La 138.91 La.upf
S 32.06 S.upf
CELL_PARAMETERS angstrom
-7.2241 1.3009 -1.8693
-0.1396 -6.4585 -3.9551
-1.1065 -1.8193 3.0099
ATOMIC_POSITIONS angstrom
Li -1.5848 -4.8125 -1.2333
Li -3.2400 -1.2726 0.2979
Li -6.8854 -2.1644 -1.5813
Li -5.2301 -5.7043 -3.1124
La 0.0000 0.0000 0.0000
La -3.6818 -2.5788 -2.9122
S -6.0923 -3.2444 -4.2006
S -4.8610 -0.2243 -1.9225
S -1.2713 -1.9132 -1.6238
S -2.5027 -4.9333 -3.9019

***

Version B
! Li2LaS2, optimized geometry, DFT PBE; values from VASP
! **D(E_F)**: 0.342 states/eV/atom
&SYSTEM
  ibrav = 0, nat = 5, ntyp = 3
/
ATOMIC_SPECIES
S 32.06 S.upf
La 138.91 La.upf
Li 6.94 Li.upf
CELL_PARAMETERS angstrom
-2.7661 -2.3309 0.9608
1.1555 0.0956 3.5586
-4.6143 3.8572 3.3628
ATOMIC_POSITIONS angstrom
S -4.4340 1.4523 5.3370
S -1.7909 0.1696 2.5451
La 0.0000 0.0000 0.0000
Li -4.0929 0.2043 3.2916
Li -2.1321 1.4175 4.5905

***

Most stable to least stable, the ends of the list are version B and version A.